Entry P
A relaxed structure of Mn2Os2W, computed with PBE.

a b c (Å): 7.037 7.037 2.727
angles (deg): 90.00 90.00 90.00
Positions (direct):
Mn 0.121 0.379 0.000
Mn 0.379 0.879 0.000
Mn 0.621 0.121 0.000
Mn 0.879 0.621 0.000
Os 0.173 0.673 0.500
Os 0.327 0.173 0.500
Os 0.673 0.827 0.500
Os 0.827 0.327 0.500
W 0.000 0.000 0.000
W 0.500 0.500 0.000

Values from the calculation:
Space group = P4/mbm, No. 127


Entry Q
A relaxed structure of Mn2Os2W, computed with PBE.

a b c (Å): 7.163 7.163 2.678
angles (deg): 90.00 90.00 90.00
Positions (direct):
Mn 0.168 0.332 0.000
Mn 0.332 0.832 0.000
Mn 0.668 0.168 0.000
Mn 0.832 0.668 0.000
Os 0.128 0.628 0.500
Os 0.372 0.128 0.500
Os 0.628 0.872 0.500
Os 0.872 0.372 0.500
W 0.000 0.000 0.500
W 0.500 0.500 0.500

Values from the calculation:
Space group = P4/mbm, No. 127


Most stable: entry P (next structure +73 meV/atom)


Entry P
A relaxed structure of Y2Mn2Os, computed with PBE.

a b c (Å): 7.640 7.640 3.593
angles (deg): 90.00 90.00 90.00
Positions (direct):
Y 0.173 0.327 0.000
Y 0.327 0.827 0.000
Y 0.673 0.173 0.000
Y 0.827 0.673 0.000
Mn 0.123 0.623 0.500
Mn 0.377 0.123 0.500
Mn 0.623 0.877 0.500
Mn 0.877 0.377 0.500
Os 0.000 0.000 0.000
Os 0.500 0.500 0.000

Values from the calculation:
Space group = P4/mbm, No. 127


Entry Q
A relaxed structure of Y2Mn2Os, computed with PBE.

a b c (Å): 3.264 3.264 17.545
angles (deg): 90.00 90.00 90.00
Positions (direct):
Y 0.000 0.000 0.101
Y 0.000 0.000 0.899
Y 0.500 0.500 0.399
Y 0.500 0.500 0.601
Mn 0.000 0.500 0.250
Mn 0.000 0.500 0.750
Mn 0.500 0.000 0.250
Mn 0.500 0.000 0.750
Os 0.000 0.000 0.500
Os 0.500 0.500 0.000

Values from the calculation:
Space group = I4/mmm, No. 139


Most stable: entry Q (next structure +434 meV/atom)


Entry P
A relaxed structure of YMn3Os, computed with PBE.

a b c (Å): 4.672 4.672 4.672
angles (deg): 90.00 90.00 90.00
Positions (direct):
Y 0.000 0.000 0.000
Mn 0.000 0.500 0.500
Mn 0.500 0.000 0.500
Mn 0.500 0.500 0.000
Os 0.500 0.500 0.500

Values from the calculation:
Space group = Pm-3m, No. 221


Entry Q
A relaxed structure of YMn3Os, computed with PBE.

a b c (Å): 4.356 4.356 4.356
angles (deg): 90.00 90.00 90.00
Positions (direct):
Y 0.000 0.000 0.000
Mn 0.000 0.000 0.500
Mn 0.000 0.500 0.000
Mn 0.500 0.000 0.000
Os 0.500 0.500 0.500

Values from the calculation:
Space group = Pm-3m, No. 221


Most stable: entry P (next structure +1950 meV/atom)


Entry P
A relaxed structure of Mn2ZnOs2, computed with PBE.

a b c (Å): 7.266 7.266 2.655
angles (deg): 90.00 90.00 90.00
Positions (direct):
Mn 0.164 0.336 0.000
Mn 0.336 0.836 0.000
Mn 0.664 0.164 0.000
Mn 0.836 0.664 0.000
Zn 0.000 0.000 0.500
Zn 0.500 0.500 0.500
Os 0.129 0.629 0.500
Os 0.371 0.129 0.500
Os 0.629 0.871 0.500
Os 0.871 0.371 0.500

Values from the calculation:
Space group = P4/mbm, No. 127


Entry Q
A relaxed structure of Mn2ZnOs2, computed with PBE.

a b c (Å): 3.695 3.695 11.003
angles (deg): 90.00 90.00 90.00
Positions (direct):
Mn 0.000 0.500 0.250
Mn 0.000 0.500 0.750
Mn 0.500 0.000 0.250
Mn 0.500 0.000 0.750
Zn 0.000 0.000 0.000
Zn 0.500 0.500 0.500
Os 0.000 0.000 0.389
Os 0.000 0.000 0.611
Os 0.500 0.500 0.111
Os 0.500 0.500 0.889

Values from the calculation:
Space group = I4/mmm, No. 139


Most stable: entry P (next structure +228 meV/atom)